[1]
Material: Li4ErAs2
Method: DFT, GGA-PBE
State: relaxed

## Properties
- Crystal system: tetragonal
- Total moment: 0.24 μB/f.u.
- Calculated formation energy: -794 meV per atom
- Energy: -54.14 eV for the cell shown

Unit cell a=7.599 b=7.599 c=4.109 alpha=90.00 beta=90.00 gamma=90.00
Space group P4_2/mnm (No. 136)
Asymmetric unit:
Li (0.098, 0.338, 0.000) (multiplicity 8)
Er (0.000, 0.000, 0.500) (multiplicity 2)
As (0.209, 0.791, 0.000) (multiplicity 4)

[2]
Material: LiErAs
Method: DFT, GGA-PBE
State: relaxed

## Properties
- Crystal system: tetragonal
- Total moment: 0.21 μB/f.u.
- Energy above the most stable polymorph in this dataset: 338 meV per atom
- Calculated formation energy: -593 meV per atom
- Energy: -25.81 eV for the cell shown

Unit cell a=3.895 b=3.895 c=8.139 alpha=90.00 beta=90.00 gamma=90.00
Space group I4mm (No. 107)
Asymmetric unit:
Li (0.000, 0.000, 0.000) (multiplicity 2)
Er (0.000, 0.000, 0.340) (multiplicity 2)
As (0.000, 0.000, 0.694) (multiplicity 2)

[3]
Material: Li3Er3AsO8
Method: DFT, GGA-PBE
State: relaxed

## Properties
- Crystal system: trigonal
- Total moment: 0.00 μB/f.u.
- Energy: -304.67 eV for the cell shown

Unit cell a=6.5721 b=6.5721 c=14.8970 alpha=90.00 beta=90.00 gamma=120.00
Space group R-3m (No. 166, hexagonal axes)
Asymmetric unit:
Li (0.0000, 0.5000, 0.0000) (multiplicity 9)
Er (0.0000, 0.5000, 0.5000) (multiplicity 9)
As (0.0000, 0.0000, 0.5000) (multiplicity 3)
O (0.0000, 0.0000, 0.2440) (multiplicity 6)
O (0.0346, 0.5173, 0.2406) (multiplicity 18)

[4]
Material: Li2ErAsO
Method: DFT, GGA-PBE
State: relaxed

## Properties
- Crystal system: tetragonal
- Total moment: 0.00 μB/f.u.
- Energy: -26.79 eV for the cell shown

Unit cell a=4.090 b=4.090 c=4.532 alpha=90.00 beta=90.00 gamma=90.00
Space group P4/mmm (No. 123)
Asymmetric unit:
Li (0.000, 0.500, 0.000) (multiplicity 2)
Er (0.000, 0.000, 0.500) (multiplicity 1)
As (0.500, 0.500, 0.500) (multiplicity 1)
O (0.000, 0.000, 0.000) (multiplicity 1)

[5]
Material: LiErAs2O6
Method: DFT, GGA-PBE
State: relaxed

## Properties
- Crystal system: monoclinic
- Total moment: 0.00 μB/f.u.
- Energy: -256.17 eV for the cell shown

Unit cell a=10.699 b=8.048 c=6.838 alpha=90.00 beta=119.95 gamma=90.00
Space group C2/c (No. 15)
Asymmetric unit:
Li (0.000, 0.223, 0.250) (multiplicity 4)
Er (0.000, 0.170, 0.750) (multiplicity 4)
As (0.197, 0.470, 0.698) (multiplicity 8)
O (0.107, 0.288, 0.566) (multiplicity 8)
O (0.116, 0.063, 0.178) (multiplicity 8)
O (0.165, 0.402, 0.957) (multiplicity 8)

[6]
Material: LiErPa2As4
Method: DFT, GGA-PBE
State: relaxed

## Properties
- Crystal system: monoclinic
- Total moment: 0.01 μB/f.u.
- Calculated formation energy: -1019 meV per atom
- Energy: -52.22 eV for the cell shown

Unit cell a=6.903 b=4.112 c=7.128 alpha=90.00 beta=110.01 gamma=90.00
Space group P2/m (No. 10)
Asymmetric unit:
Li (0.000, 0.000, 0.000) (multiplicity 1)
Er (0.000, 0.500, 0.500) (multiplicity 1)
Pa (0.500, 0.000, 0.500) (multiplicity 1)
Pa (0.500, 0.500, 0.000) (multiplicity 1)
As (0.249, 0.000, 0.753) (multiplicity 2)
As (0.253, 0.500, 0.249) (multiplicity 2)

[7]
Material: Li2ErAs2Pd2
Method: DFT, GGA-PBE
State: relaxed

## Properties
- Crystal system: trigonal
- Total moment: 0.00 μB/f.u.
- Calculated formation energy: -868 meV per atom
- Energy: -102.46 eV for the cell shown

Unit cell a=4.2694 b=4.2694 c=22.8027 alpha=90.00 beta=90.00 gamma=120.00
Space group R-3m (No. 166, hexagonal axes)
Asymmetric unit:
Li (0.0000, 0.0000, 0.1413) (multiplicity 6)
Er (0.0000, 0.0000, 0.0000) (multiplicity 3)
As (0.0000, 0.0000, 0.2562) (multiplicity 6)
Pd (0.0000, 0.0000, 0.4246) (multiplicity 6)

[8]
Material: LiErAsPt
Method: DFT, GGA-PBE
State: relaxed

## Properties
- Crystal system: cubic
- Total moment: 0.00 μB/f.u.
- Calculated formation energy: -868 meV per atom
- Energy: -82.56 eV for the cell shown

Unit cell a=6.677 b=6.677 c=6.677 alpha=90.00 beta=90.00 gamma=90.00
Space group F-43m (No. 216)
Asymmetric unit:
Li (0.000, 0.000, 0.000) (multiplicity 4)
Er (0.000, 0.000, 0.500) (multiplicity 4)
As (0.250, 0.250, 0.250) (multiplicity 4)
Pt (0.250, 0.250, 0.750) (multiplicity 4)